Model i:
## Li2ZrBr (PBE)

Data for a relaxed Li2ZrBr crystal.

Cell and atoms, written as CIF:
```
data_Li2ZrBr
_cell_length_a 3.3700
_cell_length_b 3.3028
_cell_length_c 14.3206
_cell_angle_alpha 90.00
_cell_angle_beta 90.00
_cell_angle_gamma 90.00
_symmetry_space_group_name_H-M 'A m m 2'
_symmetry_Int_Tables_number 38
loop_
_symmetry_equiv_pos_as_xyz
'x,y,z'
'-x,-y,z'
'-x,y,z'
'x,-y,z'
'x,y+1/2,z+1/2'
'-x,-y+1/2,z+1/2'
'-x,y+1/2,z+1/2'
'x,-y+1/2,z+1/2'
loop_
_atom_site_label
_atom_site_type_symbol
_atom_site_fract_x
_atom_site_fract_y
_atom_site_fract_z
Li1 Li 0.0000 0.0000 0.0000
Li2 Li 0.5000 0.0000 0.3822
Zr1 Zr 0.5000 0.0000 0.6351
Br1 Br 0.0000 0.0000 0.7978
```

=====

Model ii:
## Li2ZrBr (PBE)

Data for a relaxed Li2ZrBr crystal.

Cell and atoms, written as CIF:
```
data_Li2ZrBr
_cell_length_a 6.7740
_cell_length_b 6.7740
_cell_length_c 6.7740
_cell_angle_alpha 90.00
_cell_angle_beta 90.00
_cell_angle_gamma 90.00
_symmetry_space_group_name_H-M 'F -4 3 m'
_symmetry_Int_Tables_number 216
_symmetry_space_group_name_Hall 'F -4 2 3'
loop_
_atom_site_label
_atom_site_type_symbol
_atom_site_fract_x
_atom_site_fract_y
_atom_site_fract_z
Li1 Li 0.0000 0.0000 0.0000
Li2 Li 0.2500 0.2500 0.2500
Zr1 Zr 0.2500 0.2500 0.7500
Br1 Br 0.0000 0.0000 0.5000
```

=====

Stability ranking, top and bottom: model i is the most stable and model ii is the least stable.

=====

Model i:
## Li2ZrBr (PBE)

Data for a relaxed Li2ZrBr crystal.

Cell and atoms, written as CIF:
```
data_Li2ZrBr
_cell_length_a 3.1255
_cell_length_b 4.9522
_cell_length_c 10.3918
_cell_angle_alpha 90.00
_cell_angle_beta 90.00
_cell_angle_gamma 90.00
_symmetry_space_group_name_H-M 'I m m m'
_symmetry_Int_Tables_number 71
_symmetry_space_group_name_Hall '-I 2 2'
loop_
_atom_site_label
_atom_site_type_symbol
_atom_site_fract_x
_atom_site_fract_y
_atom_site_fract_z
Li1 Li 0.0000 0.0000 0.2205
Zr1 Zr 0.0000 0.5000 0.0000
Br1 Br 0.0000 0.5000 0.5000
```

=====

Model ii:
## Li2ZrBr (PBE)

Data for a relaxed Li2ZrBr crystal.

Cell and atoms, written as CIF:
```
data_Li2ZrBr
_cell_length_a 3.2576
_cell_length_b 4.8511
_cell_length_c 5.0571
_cell_angle_alpha 90.00
_cell_angle_beta 90.00
_cell_angle_gamma 90.00
_symmetry_space_group_name_H-M 'P m m m'
_symmetry_Int_Tables_number 47
loop_
_symmetry_equiv_pos_as_xyz
'x,y,z'
'-x,-y,-z'
'-x,-y,z'
'x,y,-z'
'x,-y,-z'
'-x,y,z'
'-x,y,-z'
'x,-y,z'
loop_
_atom_site_label
_atom_site_type_symbol
_atom_site_fract_x
_atom_site_fract_y
_atom_site_fract_z
Li1 Li 0.0000 0.0000 0.0000
Li2 Li 0.5000 0.5000 0.0000
Zr1 Zr 0.0000 0.5000 0.5000
Br1 Br 0.5000 0.0000 0.5000
```

=====

Stability ranking, top and bottom: model i is the most stable and model ii is the least stable.

=====

Model i:
## Mg4Br5 (PBE)

Data for a relaxed Mg4Br5 crystal.

Cell and atoms, written as CIF:
```
data_Mg4Br5
_cell_length_a 14.0390
_cell_length_b 14.0390
_cell_length_c 3.6940
_cell_angle_alpha 90.00
_cell_angle_beta 90.00
_cell_angle_gamma 90.00
_symmetry_space_group_name_H-M 'I 4/m m m'
_symmetry_Int_Tables_number 139
_symmetry_space_group_name_Hall '-I 4 2'
loop_
_atom_site_label
_atom_site_type_symbol
_atom_site_fract_x
_atom_site_fract_y
_atom_site_fract_z
Mg1 Mg 0.0000 0.1935 0.0000
Br1 Br 0.0000 0.0000 0.0000
Br2 Br 0.1553 0.1553 0.5000
```

=====

Model ii:
## Mg4Br5 (PBE)

Data for a relaxed Mg4Br5 crystal.

Cell and atoms, written as CIF:
```
data_Mg4Br5
_cell_length_a 8.8189
_cell_length_b 8.8189
_cell_length_c 7.1494
_cell_angle_alpha 90.00
_cell_angle_beta 90.00
_cell_angle_gamma 120.00
_symmetry_space_group_name_H-M 'P 63/m c m'
_symmetry_Int_Tables_number 193
_symmetry_space_group_name_Hall '-P 6c 2'
loop_
_atom_site_label
_atom_site_type_symbol
_atom_site_fract_x
_atom_site_fract_y
_atom_site_fract_z
Mg1 Mg 0.0000 0.0000 0.0000
Mg2 Mg 0.0000 0.4369 0.2500
Br1 Br 0.0000 0.2312 0.7500
Br2 Br 0.3333 0.6667 0.0000
```

=====

Stability ranking, top and bottom: model ii is the most stable and model i is the least stable.

=====

Model i:
## Mg2Br3 (PBE)

Data for a relaxed Mg2Br3 crystal.

Cell and atoms, written as CIF:
```
data_Mg2Br3
_cell_length_a 11.6743
_cell_length_b 12.7683
_cell_length_c 8.3089
_cell_angle_alpha 90.00
_cell_angle_beta 90.00
_cell_angle_gamma 90.00
_symmetry_space_group_name_H-M 'F d d 2'
_symmetry_Int_Tables_number 43
_symmetry_space_group_name_Hall 'F 2 -2d'
loop_
_atom_site_label
_atom_site_type_symbol
_atom_site_fract_x
_atom_site_fract_y
_atom_site_fract_z
Mg1 Mg 0.0499 0.3603 0.0000
Br1 Br 0.0000 0.0000 0.8010
Br2 Br 0.0894 0.2938 0.6702
```

=====

Model ii:
## Mg2Br3 (PBE)

Data for a relaxed Mg2Br3 crystal.

Cell and atoms, written as CIF:
```
data_Mg2Br3
_cell_length_a 4.1242
_cell_length_b 4.1242
_cell_length_c 31.6900
_cell_angle_alpha 90.00
_cell_angle_beta 90.00
_cell_angle_gamma 120.00
_symmetry_space_group_name_H-M 'R -3 m'
_symmetry_Int_Tables_number 166
_symmetry_space_group_name_Hall '-R 3 2"'
loop_
_atom_site_label
_atom_site_type_symbol
_atom_site_fract_x
_atom_site_fract_y
_atom_site_fract_z
Mg1 Mg 0.0000 0.0000 0.1098
Br1 Br 0.0000 0.0000 0.2665
Br2 Br 0.0000 0.0000 0.5000
```

=====

Stability ranking, top and bottom: model ii is the most stable and model i is the least stable.